# BaTi3Tc | Alexandria | PBE | optimized geometry
data_BaTi3Tc
_symmetry_space_group_name_H-M 'P m -3 m'
_symmetry_Int_Tables_number 221
_symmetry_space_group_name_Hall '-P 4 2 3'
_cell_length_a 4.925
_cell_length_b 4.925
_cell_length_c 4.925
_cell_angle_alpha 90.00
_cell_angle_beta 90.00
_cell_angle_gamma 90.00
loop_
_atom_site_label
_atom_site_fract_x
_atom_site_fract_y
_atom_site_fract_z
_atom_site_occupancy
Ba1 0.000 0.000 0.000 1
Ti1 0.000 0.500 0.500 1
Tc1 0.500 0.500 0.500 1
# - DOS at the Fermi energy (states/eV/cell) = 6.21
# - DFT total energy (eV per cell) = -33.88
# - total moment (μB per cell) = 0.0